Compound: CrCdBiIr2
Source: Alexandria via LeMat-Bulk
Functional: PBE
Structure: relaxed

Summary:
The total DFT energy (no corrections) is -4.091 eV per atom. The volume comes out at 126 Å³ per cell. The crystal system is tetragonal.

Unit cell a=4.8989 b=4.8989 c=5.2319 alpha=90.00 beta=90.00 gamma=90.00
Space group P4/mmm (No. 123)
Symmetry-distinct sites (fractional):
Cr (0.0000, 0.0000, 0.0000) x1
Cd (0.5000, 0.5000, 0.5000) x1
Bi (0.5000, 0.5000, 0.0000) x1
Ir (0.0000, 0.5000, 0.5000) x2